[1]
An optimized crystal structure of Mg3ZrCd. Source: the Alexandria database, functional PBE.

Cell lengths 5.062, 5.062, 5.062 Å; angles 90.00, 90.00, 90.00 degrees
Space group Pm-3m (No. 221)
Unique sites:
Mg  0.000  0.000  0.500 x3
Zr  0.500  0.500  0.500 x1
Cd  0.000  0.000  0.000 x1

Results
ρ: 3.54 g cm⁻³
calculated total energy: -11.19 eV per cell
total magnetization: 1.08 μB per cell
formation energy from the elements: 59 kJ/mol of atoms

---

[2]
An optimized crystal structure of Mg5ZrCd4. Source: the Alexandria database, functional PBE.

Cell lengths 3.254, 3.254, 20.401 Å; angles 90.00, 90.00, 90.00 degrees
Space group P4/mmm (No. 123)
Unique sites:
Mg  0.000  0.000  0.000 x1
Mg  0.000  0.000  0.198 x2
Mg  0.000  0.000  0.394 x2
Zr  0.500  0.500  0.500 x1
Cd  0.500  0.500  0.099 x2
Cd  0.500  0.500  0.296 x2

Results
ρ: 5.09 g cm⁻³
calculated total energy: -21.05 eV per cell
total magnetization: 0.00 μB per cell
formation energy from the elements: -8 kJ/mol of atoms

---

[3]
An optimized crystal structure of Mg3Zr2Cd2. Source: the Alexandria database, functional PBE.

Cell lengths 8.422, 4.873, 8.039 Å; angles 90.00, 110.66, 90.00 degrees
Space group C2/m (No. 12)
Unique sites:
Mg  0.000  0.000  0.000 x2
Mg  0.141  0.000  0.421 x4
Zr  0.209  0.500  0.128 x4
Cd  0.070  0.500  0.713 x4

Results
ρ: 5.17 g cm⁻³
calculated total energy: -46.96 eV per cell
total magnetization: 0.01 μB per cell
formation energy from the elements: 3 kJ/mol of atoms

---

[4]
An optimized crystal structure of Mg2Zr2Cd. Source: the Alexandria database, functional PBE.

Cell lengths 6.980, 6.980, 4.553 Å; angles 90.00, 90.00, 90.00 degrees
Space group P4/mbm (No. 127)
Unique sites:
Mg  0.138  0.362  0.000 x4
Zr  0.163  0.663  0.500 x4
Cd  0.000  0.000  0.000 x2

Results
ρ: 5.14 g cm⁻³
calculated total energy: -41.08 eV per cell
total magnetization: 0.00 μB per cell
formation energy from the elements: 13 kJ/mol of atoms

---

[5]
An optimized crystal structure of Mg6Zr7Cd16. Source: the Alexandria database, functional PBE.

Cell lengths 13.844, 13.844, 13.844 Å; angles 90.00, 90.00, 90.00 degrees
Space group Fm-3m (No. 225)
Unique sites:
Mg  0.000  0.000  0.247 x24
Zr  0.000  0.000  0.000 x4
Zr  0.000  0.250  0.250 x24
Cd  0.125  0.125  0.375 x32
Cd  0.129  0.129  0.129 x32

Results
ρ: 6.47 g cm⁻³
calculated total energy: -335.36 eV per cell
total magnetization: 0.00 μB per cell
formation energy from the elements: 1 kJ/mol of atoms

---

[6]
An optimized crystal structure of Mg2ZrCd5. Source: the Alexandria database, functional PBE.

Cell lengths 4.483, 4.483, 17.168 Å; angles 90.00, 90.00, 90.00 degrees
Space group I4/mmm (No. 139)
Unique sites:
Mg  0.000  0.000  0.244 x4
Zr  0.000  0.000  0.000 x2
Cd  0.000  0.000  0.500 x2
Cd  0.000  0.500  0.126 x8

Results
ρ: 6.76 g cm⁻³
calculated total energy: -34.18 eV per cell
total magnetization: 0.00 μB per cell
formation energy from the elements: -9 kJ/mol of atoms

---

Which value of ρ does entry 4 give?
5.14 g cm⁻³

---

Look up the ρ of the third one.
5.17 g cm⁻³

---

The highest formation energy from the elements belongs to which entry?
Mg3ZrCd

---

Which value of total magnetization does entry 6 give?
0.00 μB per cell